! CoPbI2F | Alexandria via LeMat-Bulk | PBE+U | relaxed; values from VASP
! * VASP energy: -15.6 eV for the cell shown
! * polymorph energy (0 for the lowest one): 0.000 eV per atom
&SYSTEM
  ibrav = 0, nat = 5, ntyp = 4
/
ATOMIC_SPECIES
Pb 207.20 Pb.upf
I 126.90 I.upf
Co 58.93 Co.upf
F 19.00 F.upf
CELL_PARAMETERS angstrom
-3.275 -4.607 -2.342
1.741 0.467 -3.353
4.346 -3.955 1.705
ATOMIC_POSITIONS crystal
Pb 0.500 0.500 0.500
I 0.000 0.000 0.500
I 0.500 0.000 0.000
Co 0.000 0.500 0.000
F 0.000 0.000 0.000